Density functional theory data (PBE) for a relaxed HfThPb crystal.

POSCAR file:
```
HfThPb
1.0
-2.762 -1.241 -1.446
-0.915 -1.371 2.923
-1.812 7.421 0.986
Th Hf Pb
1 1 1
direct
0.326 0.326 0.651
0.665 0.665 0.330
0.009 0.009 0.019
```

Total moment ... 0.000 μB/atom
Excess energy over the best structure of this formula in the dataset ... 0.126 eV per atom
Formation energy ... -0.010 eV/atom